a | Density functional theory data (PBE-GGA) for an optimized crystal structure of Ho2MgTl2.

Summary:
SG = No. 127
total moment = 0.00 μB/cell

The structure in extended XYZ format:
```
10
Lattice="4.4864 0.0000 0.0000 0.0000 7.7593 0.0000 0.0000 0.0000 7.7593" Properties=species:S:1:pos:R:3 pbc="T T T"
Ho 2.2432 1.2979 5.1776
Ho 2.2432 5.1776 6.4614
Ho 2.2432 6.4614 2.5818
Ho 2.2432 2.5818 1.2979
Mg 0.0000 0.0000 0.0000
Mg 0.0000 3.8797 3.8797
Tl 0.0000 2.8057 6.6854
Tl 0.0000 6.6854 4.9536
Tl 0.0000 4.9536 1.0739
Tl 0.0000 1.0739 2.8057
```

b | Density functional theory data (PBE-GGA) for an optimized crystal structure of Ho2MgTl2.

Summary:
SG = No. 36
total moment = 0.00 μB/cell

The structure in extended XYZ format:
```
10
Lattice="-0.7555 2.0504 4.4112 -3.1128 -5.3934 1.9738 7.6426 -4.2194 0.5233" Properties=species:S:1:pos:R:3 pbc="T T T"
Ho 4.2636 -6.2576 6.3856
Ho 2.8587 -2.9815 4.6223
Ho 0.0932 -6.0057 2.8075
Ho -0.6463 -1.5769 0.6223
Mg 5.4631 -2.8085 2.2411
Mg -0.5067 -2.7056 3.9176
Tl 4.5151 -5.4855 3.3230
Tl 1.2935 -5.7907 5.6599
Tl 1.5514 -3.3822 1.8378
Tl 0.7058 0.4295 2.6680
```

Of them, b has the lowest stability.

a | Density functional theory data (PBE-GGA) for an optimized crystal structure of Ho3Tm2Mg2.

Summary:
SG = No. 2
total moment = 0.00 μB/cell

The structure in extended XYZ format:
```
7
Lattice="-0.5329 -0.9674 5.2650 3.6649 -2.7009 -2.8717 3.1042 7.7226 1.7284" Properties=species:S:1:pos:R:3 pbc="T T T"
Ho -0.2665 -0.4837 2.6325
Ho 2.2259 2.1171 3.3612
Ho 4.0103 1.9372 0.7605
Tm 3.5117 -1.0299 2.9145
Tm 2.7244 5.0841 1.2072
Mg 4.3954 4.3793 3.9954
Mg 1.8407 -0.3250 0.1263
```

b | Density functional theory data (PBE-GGA) for an optimized crystal structure of Ho3Tm2Mg2.

Summary:
SG = No. 65
total moment = 0.00 μB/cell

The structure in extended XYZ format:
```
7
Lattice="-2.7261 -4.2690 -1.2031 0.7546 -1.3470 3.0699 -10.7128 2.6027 3.7753" Properties=species:S:1:pos:R:3 pbc="T T T"
Ho -5.5474 -2.8395 0.1176
Ho 0.0000 0.0000 0.0000
Ho -7.8915 1.1732 2.4546
Tm -7.7385 -2.2117 2.8549
Tm -4.9459 -0.8016 2.7872
Mg -10.4081 -0.8591 4.1046
Mg -2.2762 -2.1542 1.5375
```

Of them, b has the lowest stability.

a | Density functional theory data (PBE-GGA) for an optimized crystal structure of HoTm2Mg.

Summary:
SG = No. 160
total moment = 0.00 μB/cell

The structure in extended XYZ format:
```
4
Lattice="-2.3629 1.9286 1.5969 -1.9498 -1.3655 2.4874 6.2817 3.2466 9.0958" Properties=species:S:1:pos:R:3 pbc="T T T"
Ho 3.4034 3.6213 11.8175
Tm 4.3426 2.4790 7.1560
Tm 0.5027 0.9564 3.3048
Mg 0.9864 1.9045 6.5877
```

b | Density functional theory data (PBE-GGA) for an optimized crystal structure of HoTm2Mg.

Summary:
SG = No. 225
total moment = 0.00 μB/cell

The structure in extended XYZ format:
```
4
Lattice="5.4433 0.0000 0.0000 2.7216 4.7140 0.0000 2.7216 1.5713 4.4444" Properties=species:S:1:pos:R:3 pbc="T T T"
Mg 5.4433 3.1427 2.2222
Tm 2.7216 1.5713 1.1111
Tm 8.1649 4.7140 3.3333
Ho 0.0000 0.0000 0.0000
```

c | Density functional theory data (PBE-GGA) for an optimized crystal structure of HoTm2Mg.

Summary:
SG = No. 166
total moment = 0.80 μB/cell

The structure in extended XYZ format:
```
4
Lattice="-1.7123 -2.0971 2.0188 1.5764 -1.5471 2.5547 -2.7879 8.0615 8.8342" Properties=species:S:1:pos:R:3 pbc="T T T"
Mg -1.4619 2.2087 6.7039
Tm -2.0226 5.4730 6.7944
Tm -0.9012 -1.0557 6.6133
Ho 0.0000 0.0000 0.0000
```

d | Density functional theory data (PBE-GGA) for an optimized crystal structure of HoTm2Mg.

Summary:
SG = No. 123
total moment = 0.00 μB/cell

The structure in extended XYZ format:
```
4
Lattice="-0.0029 4.0135 -2.7660 -4.0547 1.5094 2.1944 2.6635 2.3022 3.3377" Properties=species:S:1:pos:R:3 pbc="T T T"
Mg -0.0014 2.0068 -1.3830
Tm 1.3317 1.1511 1.6689
Tm -2.0273 0.7547 1.0972
Ho -0.6971 3.9126 1.3831
```

Of them, c has the lowest stability.

a | Density functional theory data (PBE-GGA) for an optimized crystal structure of Ho2Tm4Mg.

Summary:
SG = No. 10
total moment = 0.00 μB/cell

The structure in extended XYZ format:
```
7
Lattice="3.5609 -0.0001 0.0000 0.0001 5.2813 -2.5000 0.0001 0.6794 11.1842" Properties=species:S:1:pos:R:3 pbc="T T T"
Ho 3.5609 2.9805 4.3419
Ho 1.7804 0.3402 5.5924
Tm 1.7805 1.0613 2.3566
Tm 1.7806 4.8989 6.3273
Tm 0.0001 2.4639 8.0598
Tm 0.0001 3.4966 0.6247
Mg 0.0002 5.9605 8.6840
```

b | Density functional theory data (PBE-GGA) for an optimized crystal structure of Ho2Tm4Mg.

Summary:
SG = No. 11
total moment = 0.00 μB/cell

The structure in extended XYZ format:
```
14
Lattice="-4.4741 3.2985 2.0646 -3.8580 -5.1599 -0.1169 5.1573 -4.0644 9.1920" Properties=species:S:1:pos:R:3 pbc="T T T"
Ho -5.5829 -1.8884 1.2074
Ho 2.4080 -4.0373 9.9323
Ho -0.0251 -2.0935 4.4328
Ho -3.1498 -3.8323 6.7068
Tm -3.3172 -1.6124 3.9191
Tm 1.4877 -7.3290 8.0007
Tm -4.6626 1.4033 3.1390
Tm -1.4071 0.9423 3.9770
Tm -1.8878 -0.7561 6.8735
Tm -1.7678 -6.8680 7.1627
Tm 0.1424 -4.3133 7.2206
Tm -1.2871 -5.1697 4.2661
Mg -2.7425 -4.0247 1.7603
Mg -0.4324 -1.9010 9.3794
```

Of them, a has the lowest stability.

a | Density functional theory data (PBE-GGA) for an optimized crystal structure of HoTm3Mg4.

Summary:
SG = No. 123
total moment = 0.00 μB/cell

The structure in extended XYZ format:
```
8
Lattice="3.7556 0.0000 0.0000 0.0000 3.7556 0.0000 0.0000 0.0000 15.0605" Properties=species:S:1:pos:R:3 pbc="T T T"
Mg 0.0000 0.0000 13.1624
Mg 0.0000 0.0000 1.8981
Mg 0.0000 0.0000 5.6503
Mg 0.0000 0.0000 9.4102
Tm 1.8778 1.8778 3.7709
Tm 1.8778 1.8778 7.5303
Tm 1.8778 1.8778 11.2896
Ho 1.8778 1.8778 0.0000
```

b | Density functional theory data (PBE-GGA) for an optimized crystal structure of HoTm3Mg4.

Summary:
SG = No. 71
total moment = 0.00 μB/cell

The structure in extended XYZ format:
```
8
Lattice="-1.1517 1.3137 -2.7439 -4.4976 -4.4499 -0.2428 -3.7584 7.9055 7.2907" Properties=species:S:1:pos:R:3 pbc="T T T"
Ho -0.5758 0.6569 -1.3719
Tm -3.1152 2.9990 2.7435
Tm -6.2925 1.7703 1.5606
Tm -2.2488 -2.2249 -0.1214
Mg -6.0070 3.6715 4.2792
Mg -3.4007 1.0979 0.0249
Mg -5.5639 -1.0424 -0.0919
Mg -3.8438 5.8117 4.3960
```

Of them, b has the lowest stability.

a | Density functional theory data (PBE-GGA) for an optimized crystal structure of Ho3Tm4Mg.

Summary:
SG = No. 12
total moment = 0.00 μB/cell

The structure in extended XYZ format:
```
8
Lattice="3.3260 0.0000 -0.4197 -0.0911 5.7450 -0.7219 -0.0841 0.3443 12.7256" Properties=species:S:1:pos:R:3 pbc="T T T"
Mg 1.6630 0.0000 -0.2099
Tm 2.3298 1.5123 5.0755
Tm 0.8211 4.5769 6.5085
Tm 0.3046 1.1943 2.4142
Tm 2.8463 4.8950 9.1698
Ho -0.0455 2.8725 -0.3610
Ho 0.4099 4.2116 3.2493
Ho 2.7410 1.8776 8.3347
```

b | Density functional theory data (PBE-GGA) for an optimized crystal structure of Ho3Tm4Mg.

Summary:
SG = No. 31
total moment = 0.00 μB/cell

The structure in extended XYZ format:
```
16
Lattice="-5.1644 2.8920 1.4904 1.2897 -1.1952 6.7881 5.5542 9.5917 0.6337" Properties=species:S:1:pos:R:3 pbc="T T T"
Ho -2.4852 1.0946 5.2146
Ho -2.8867 4.4377 5.8390
Ho -0.5681 3.3750 3.4366
Ho 2.5437 4.7507 3.0470
Ho 2.1566 8.0804 3.7474
Ho -0.0572 9.3240 6.1618
Tm 0.3122 -0.5898 6.1906
Tm -3.1608 1.7115 1.7984
Tm -3.5644 5.0650 2.4773
Tm 0.0253 2.7948 6.8226
Tm 3.1689 4.1620 6.4777
Tm -0.4657 6.5537 2.1322
Tm 2.7611 7.5194 7.1347
Tm -0.7460 9.9322 2.7988
Mg -0.2735 -0.0240 2.7608
Mg 0.2450 5.9180 5.5260
```

Of them, a has the lowest stability.

a | Density functional theory data (PBE-GGA) for an optimized crystal structure of Ho2TmMg.

Summary:
SG = No. 160
total moment = 0.00 μB/cell

The structure in extended XYZ format:
```
4
Lattice="3.4533 0.0022 -0.0003 1.7285 2.9896 -0.0003 1.7264 0.9967 11.3615" Properties=species:S:1:pos:R:3 pbc="T T T"
Ho 1.7267 0.9969 8.5211
Ho 1.7273 0.9973 2.8425
Tm 5.1819 2.9918 11.3577
Mg 3.4528 1.9935 5.6815
```

b | Density functional theory data (PBE-GGA) for an optimized crystal structure of Ho2TmMg.

Summary:
SG = No. 123
total moment = 0.00 μB/cell

The structure in extended XYZ format:
```
4
Lattice="3.5399 0.0000 0.0000 0.0000 3.5399 0.0000 0.0000 0.0000 9.2509" Properties=species:S:1:pos:R:3 pbc="T T T"
Mg 1.7700 1.7700 0.0000
Tm 1.7700 1.7700 4.6254
Ho 0.0000 0.0000 7.0355
Ho 0.0000 0.0000 2.2154
```

c | Density functional theory data (PBE-GGA) for an optimized crystal structure of Ho2TmMg.

Summary:
SG = No. 166
total moment = 0.00 μB/cell

The structure in extended XYZ format:
```
4
Lattice="3.4851 0.0000 0.0000 1.7426 3.0182 0.0000 1.7426 1.0061 11.1298" Properties=species:S:1:pos:R:3 pbc="T T T"
Mg 0.0000 0.0000 0.0000
Tm 3.4851 2.0121 5.5649
Ho 1.7426 1.0061 2.7176
Ho 5.2277 3.0182 8.4122
```

Of them, a has the lowest stability.

a | Density functional theory data (PBE-GGA) for an optimized crystal structure of Ho2TmMg.

Summary:
SG = No. 123
total moment = 0.00 μB/cell

The structure in extended XYZ format:
```
4
Lattice="-2.9583 2.6909 0.1417 -3.5937 -3.9749 0.4586 0.4492 0.2117 5.3552" Properties=species:S:1:pos:R:3 pbc="T T T"
Mg -1.4791 1.3455 0.0709
Tm -3.0514 -0.5361 2.9778
Ho 0.2246 0.1059 2.6776
Ho -1.7969 -1.9875 0.2293
```

b | Density functional theory data (PBE-GGA) for an optimized crystal structure of Ho2TmMg.

Summary:
SG = No. 12
total moment = 0.00 μB/cell

The structure in extended XYZ format:
```
8
Lattice="-1.9058 -3.0025 -3.5144 1.6654 -3.9886 2.5132 -7.8722 3.0865 5.1691" Properties=species:S:1:pos:R:3 pbc="T T T"
Ho -2.0914 -5.3416 0.3653
Ho -6.0212 1.4371 3.8025
Ho -4.8890 0.0420 0.8273
Ho -3.1034 -0.4510 3.8411
Tm -1.9570 -1.8455 0.8576
Tm -6.1556 -2.0590 3.3102
Mg 0.7728 -3.7421 1.0066
Mg -1.0132 -3.2489 -2.0078
```

Of them, a has the lowest stability.